Entry from Alexandria: a geometry-optimized AcThBiSb structure (PBE).

Results
Offset from the most stable computed form: 0 meV/atom
Formation energy without anion corrections: -0.703 eV per atom
Calculated total energy: -5.586 eV per atom

extended XYZ file:
```
16
Lattice="8.0259 0.0000 0.0000 0.0000 8.0259 0.0000 0.0000 0.0000 8.0259" Properties=species:S:1:pos:R:3 pbc="T T T"
Ac 0.0000 0.0000 0.0000
Ac 0.0000 4.0129 4.0129
Ac 4.0129 0.0000 4.0129
Ac 4.0129 4.0129 0.0000
Th 0.0000 0.0000 4.0129
Th 0.0000 4.0129 0.0000
Th 4.0129 0.0000 0.0000
Th 4.0129 4.0129 4.0129
Bi 2.0065 2.0065 2.0065
Bi 2.0065 6.0194 6.0194
Bi 6.0194 2.0065 6.0194
Bi 6.0194 6.0194 2.0065
Sb 2.0065 2.0065 6.0194
Sb 2.0065 6.0194 2.0065
Sb 6.0194 2.0065 2.0065
Sb 6.0194 6.0194 6.0194
```

Entry from Alexandria: a geometry-optimized ZnTc3Ru structure (PBE).

Results
Offset from the most stable computed form: 120 meV/atom
ΔH_f (0 K): 1.830 eV per atom
Calculated total energy: -6.499 eV per atom

extended XYZ file:
```
5
Lattice="4.4107 0.0000 0.0000 0.0000 4.4107 0.0000 0.0000 0.0000 4.4107" Properties=species:S:1:pos:R:3 pbc="T T T"
Zn 0.0000 0.0000 0.0000
Tc 0.0000 0.0000 2.2054
Tc 0.0000 2.2054 0.0000
Tc 2.2054 0.0000 0.0000
Ru 2.2054 2.2054 2.2054
```

Entry from Alexandria: a geometry-optimized K2LiZn structure (PBE).

Results
ΔH_f (0 K): 0.266 eV per atom
Calculated total energy: -1.079 eV per atom

extended XYZ file:
```
16
Lattice="9.7904 0.0000 0.0000 0.0000 9.7904 0.0000 0.0000 0.0000 6.9229" Properties=species:S:1:pos:R:3 pbc="T T T"
K 2.1742 2.4476 0.8654
K 2.4476 7.0694 2.5961
K 2.4476 7.6162 6.0575
K 2.7210 2.4476 4.3268
K 7.0694 7.3428 4.3268
K 7.3428 2.1742 6.0575
K 7.3428 2.7210 2.5961
K 7.6162 7.3428 0.8654
Li 0.0000 0.0000 3.4614
Li 0.0000 4.8952 5.1922
Li 4.8952 0.0000 1.7307
Li 4.8952 4.8952 0.0000
Zn 0.0000 0.0000 0.0000
Zn 0.0000 4.8952 1.7307
Zn 4.8952 0.0000 5.1922
Zn 4.8952 4.8952 3.4614
```

Entry from Alexandria: a geometry-optimized Rb2Co2Cl7 structure (PBE).

Results
Formation energy without anion corrections: -1.076 eV per atom
Calculated total energy: -3.719 eV per atom

extended XYZ file:
```
22
Lattice="6.4252 0.0000 0.0000 0.0000 15.9258 0.0000 -0.7902 0.0000 8.0767" Properties=species:S:1:pos:R:3 pbc="T T T"
Rb 0.3540 2.3847 3.3138
Rb -0.0411 5.5782 7.3521
Rb 5.6760 10.3476 0.7246
Rb 5.2809 13.5410 4.7629
Co 1.8287 9.6555 5.1801
Co 2.2238 14.2332 1.1417
Co 3.4112 1.6926 6.9350
Co 3.8063 6.2703 2.8966
Cl 0.4565 10.6996 3.8171
Cl 0.0614 13.1890 7.8555
Cl 0.7755 8.7729 6.9108
Cl 1.1706 15.1158 2.8724
Cl 1.8559 3.0645 6.2057
Cl 2.2510 4.8984 2.1674
Cl 3.2126 0.0000 0.0000
Cl 2.8175 7.9629 4.0383
Cl 3.3840 11.0274 5.9093
Cl 3.7791 12.8612 1.8709
Cl 4.4644 0.8100 5.2043
Cl 4.8595 7.1529 1.1659
Cl 5.5736 2.7367 0.2212
Cl 5.1785 5.2262 4.2595
```

Entry from Alexandria: a geometry-optimized TlAgN2O structure (PBE).

Results
Formation energy without anion corrections: 1.762 eV per atom
Calculated total energy: -3.603 eV per atom

extended XYZ file:
```
5
Lattice="4.4252 0.0000 0.0000 0.0000 4.4252 0.0000 0.0000 0.0000 4.3602" Properties=species:S:1:pos:R:3 pbc="T T T"
Tl 0.0000 0.0000 0.0000
Ag 2.2126 2.2126 2.1801
N 0.0000 2.2126 0.0000
N 2.2126 0.0000 0.0000
O 0.0000 0.0000 2.1801
```

Entry from Alexandria: a geometry-optimized CaY3 structure (PBE).

Results
ΔH_f (0 K): 0.273 eV per atom
Calculated total energy: -5.076 eV per atom

extended XYZ file:
```
16
Lattice="9.6715 0.0000 0.0000 0.0000 9.9386 0.0000 0.0000 0.0000 5.9840" Properties=species:S:1:pos:R:3 pbc="T T T"
Ca 0.0000 0.7319 1.4960
Ca 0.0000 9.2066 4.4880
Ca 4.8358 4.2373 4.4880
Ca 4.8358 5.7012 1.4960
Y 0.0000 4.0700 1.4960
Y 0.0000 5.8686 4.4880
Y 1.6002 2.6550 4.4880
Y 1.6002 7.2836 1.4960
Y 3.2355 2.3143 1.4960
Y 3.2355 7.6243 4.4880
Y 4.8358 0.8993 4.4880
Y 4.8358 9.0393 1.4960
Y 6.4360 2.3143 1.4960
Y 6.4360 7.6243 4.4880
Y 8.0713 2.6550 4.4880
Y 8.0713 7.2836 1.4960
```